A plane-wave DFT calculation with PBE was carried out for TaAl2CuPb after structural relaxation.

Geometry as extended XYZ:
```
5
Lattice="-5.015 -1.268 -0.221 0.964 -3.058 -4.319 0.893 -4.066 3.079" Properties=species:S:1:pos:R:3 pbc="T T T"
Pb 0.000 0.000 0.000
Cu -1.579 -4.196 -0.731
Al 0.446 -2.033 1.539
Ta 0.482 -1.529 -2.160
Al -2.508 -0.634 -0.111
```

Results
Uncorrected energy, eV per atom: -3.548
Energy relative to the elements, kJ per mole of atoms: 181

***

A plane-wave DFT calculation with PBE was carried out for Ac2ZnCu9 after structural relaxation.

Geometry as extended XYZ:
```
12
Lattice="5.227 0.000 0.000 2.614 4.527 0.000 2.614 1.509 8.644" Properties=species:S:1:pos:R:3 pbc="T T T"
Cu 3.927 2.267 1.969
Ac 7.841 4.527 3.424
Cu 3.927 3.769 6.675
Cu 7.841 4.527 8.625
Cu 5.227 3.018 4.322
Cu 2.614 1.509 0.019
Cu 5.227 1.517 6.675
Zn 0.000 0.000 0.000
Cu 5.227 4.519 1.969
Ac 2.614 1.509 5.220
Cu 6.528 2.267 1.969
Cu 6.528 3.769 6.675
```

Results
Uncorrected energy, eV per atom: -3.803
Energy relative to the elements, kJ per mole of atoms: 6